Entry from Alexandria via LeMat-Bulk: crystalline AlTlOF2 at its relaxed geometry (PBE).

**Size of the total moment**: 0.000 μB per atom
**Relative energy among the computed polymorphs**: 0.0000 eV/atom
**Total DFT energy (no corrections)**: -5.34 eV/atom
**ΔE_f (raw)**: -2375 meV per atom

CIF file:
```
data_AlTlOF2
_chemical_formula_sum 'Al1 Tl1 O1 F2'
_cell_length_a 4.254
_cell_length_b 4.254
_cell_length_c 3.565
_cell_angle_alpha 90.00
_cell_angle_beta 90.00
_cell_angle_gamma 90.00
_space_group_name_H-M_alt 'P 1'
_space_group_IT_number 1
_space_group_name_Hall 'P 1'
loop_
_atom_site_label
_atom_site_type_symbol
_atom_site_fract_x
_atom_site_fract_y
_atom_site_fract_z
Tl1 Tl 0.500 0.500 0.500
Al1 Al 0.000 0.000 0.000
O1 O 0.000 0.000 0.500
F1 F 0.000 0.500 0.000
F2 F 0.500 0.000 0.000
```